An optimized crystal structure of RbTe2MoIr, computed with PBE.

Unit cell a=5.2829 b=5.2829 c=5.8162 alpha=90.00 beta=90.00 gamma=90.00
Space group P4/mmm (No. 123)
Unique sites:
Rb (0.0000, 0.0000, 0.0000)
Te (0.0000, 0.5000, 0.5000)
Mo (0.5000, 0.5000, 0.0000)
Ir (0.0000, 0.0000, 0.5000)

Results
Energy ... -4.260 eV per atom
Raw formation energy ... 1.129 eV/atom
Total magnetization ... 3.92 μB/cell

***

An optimized crystal structure of TcBr2Cl, computed with PBE.

Unit cell a=3.1116 b=7.4195 c=10.4289 alpha=90.00 beta=90.00 gamma=90.00
Space group Cmm2 (No. 35)
Unique sites:
Tc (0.0000, 0.0000, 0.0000)
Br (0.0000, 0.0000, 0.5022)
Br (0.0000, 0.5000, 0.8121)
Cl (0.0000, 0.5000, 0.1733)

Results
Energy ... -3.728 eV per atom
Raw formation energy ... 0.162 eV/atom
Offset from the most stable computed form ... 496 meV per atom
Total magnetization ... 5.85 μB/cell

***

An optimized crystal structure of Ce3NdSm2Bi6, computed with PBE.

Unit cell a=7.9468 b=13.7636 c=7.9511 alpha=90.00 beta=109.46 gamma=90.00
Space group C2/m (No. 12)
Unique sites:
Ce (0.0000, 0.0000, 0.0000)
Ce (0.0000, 0.3341, 0.0000)
Nd (0.0000, 0.5000, 0.5000)
Sm (0.0000, 0.1669, 0.5000)
Bi (0.2479, 0.0000, 0.7494)
Bi (0.2490, 0.1676, 0.2497)

Results
Energy ... -5.474 eV per atom
Total magnetization ... 5.12 μB/cell

***

An optimized crystal structure of Ba2CuSeN, computed with PBE.

Unit cell a=5.6862 b=5.6862 c=3.8148 alpha=90.00 beta=90.00 gamma=90.00
Space group P4/mmm (No. 123)
Unique sites:
Ba (0.0000, 0.5000, 0.0000)
Cu (0.0000, 0.0000, 0.5000)
Se (0.5000, 0.5000, 0.5000)
N (0.0000, 0.0000, 0.0000)

Results
Energy ... -4.852 eV per atom
Raw formation energy ... -0.901 eV/atom
Total magnetization ... 0.00 μB/cell